A relaxed BaCdHgF6 crystal. Source: the Alexandria database, functional PBE-GGA.

```
data_BaCdHgF6
_symmetry_space_group_name_H-M 'P 1'
_symmetry_Int_Tables_number 1
_cell_length_a 7.8539
_cell_length_b 7.4409
_cell_length_c 7.6884
_cell_angle_alpha 118.94
_cell_angle_beta 120.71
_cell_angle_gamma 90.00
loop_
_symmetry_equiv_pos_as_xyz
'x,y,z'
loop_
_atom_site_label
_atom_site_fract_x
_atom_site_fract_y
_atom_site_fract_z
Ba1 0.8788 0.6288 0.7575
Ba2 0.1212 0.3712 0.2425
Cd1 0.5000 0.0000 0.5000
Cd2 0.0000 0.0000 0.5000
Hg1 0.5000 0.5000 0.0000
Hg2 0.5000 0.0000 0.0000
F1 0.3649 0.6149 0.7299
F2 0.8439 0.0939 0.6879
F3 0.8653 0.1097 0.2427
F4 0.3774 0.6330 0.2427
F5 0.3774 0.1097 0.2427
F6 0.8653 0.6330 0.2427
F7 0.6351 0.3851 0.2701
F8 0.1561 0.9061 0.3121
F9 0.1347 0.8903 0.7573
F10 0.6226 0.3670 0.7573
F11 0.6226 0.8903 0.7573
F12 0.1347 0.3670 0.7573
```

Raw formation energy: -226.16 kJ/mol of atoms
VASP energy: -70.93 eV/cell


A relaxed CaReI2 crystal. Source: the Alexandria database, functional PBE-GGA.

```
data_CaReI2
_symmetry_space_group_name_H-M 'P 1'
_symmetry_Int_Tables_number 1
_cell_length_a 5.2460
_cell_length_b 5.2460
_cell_length_c 5.2460
_cell_angle_alpha 60.00
_cell_angle_beta 60.00
_cell_angle_gamma 60.00
loop_
_symmetry_equiv_pos_as_xyz
'x,y,z'
loop_
_atom_site_label
_atom_site_fract_x
_atom_site_fract_y
_atom_site_fract_z
I1 0.2500 0.2500 0.2500
I2 0.7500 0.7500 0.7500
Re1 0.5000 0.5000 0.5000
Ca1 0.0000 0.0000 0.0000
```

Raw formation energy: 57.47 kJ/mol of atoms
VASP energy: -15.17 eV/cell


A relaxed Th5Pb3 crystal. Source: the Alexandria database, functional PBE-GGA.

```
data_Th5Pb3
_symmetry_space_group_name_H-M 'P 1'
_symmetry_Int_Tables_number 1
_cell_length_a 9.5528
_cell_length_b 9.5528
_cell_length_c 6.5009
_cell_angle_alpha 90.00
_cell_angle_beta 90.00
_cell_angle_gamma 120.00
loop_
_symmetry_equiv_pos_as_xyz
'x,y,z'
loop_
_atom_site_label
_atom_site_fract_x
_atom_site_fract_y
_atom_site_fract_z
Th1 0.6667 0.3333 0.0000
Th2 0.3333 0.6667 0.5000
Th3 0.3333 0.6667 0.0000
Th4 0.6667 0.3333 0.5000
Th5 0.7487 0.7487 0.7500
Th6 0.2513 0.2513 0.2500
Th7 0.0000 0.2513 0.7500
Th8 0.2513 0.0000 0.7500
Th9 0.7487 0.0000 0.2500
Th10 0.0000 0.7487 0.2500
Pb1 0.3880 0.3880 0.7500
Pb2 0.6120 0.6120 0.2500
Pb3 0.0000 0.6120 0.7500
Pb4 0.6120 0.0000 0.7500
Pb5 0.3880 0.0000 0.2500
Pb6 0.0000 0.3880 0.2500
```

Formation energy from the elements: -0.265 eV per atom
VASP energy: -100.68 eV/cell


A relaxed PaVH3 crystal. Source: the Alexandria database, functional PBE-GGA.

```
data_PaVH3
_symmetry_space_group_name_H-M 'P 1'
_symmetry_Int_Tables_number 1
_cell_length_a 4.2596
_cell_length_b 6.1056
_cell_length_c 8.3472
_cell_angle_alpha 109.94
_cell_angle_beta 90.00
_cell_angle_gamma 90.00
loop_
_symmetry_equiv_pos_as_xyz
'x,y,z'
loop_
_atom_site_label
_atom_site_fract_x
_atom_site_fract_y
_atom_site_fract_z
Pa1 0.7471 0.9758 0.6642
Pa2 0.2529 0.0242 0.3358
Pa3 0.2471 0.5242 0.8358
Pa4 0.7529 0.4758 0.1642
V1 0.2535 0.5666 0.4431
V2 0.7465 0.4334 0.5569
V3 0.7535 0.9334 0.0569
V4 0.2465 0.0666 0.9431
H1 0.0342 0.6600 0.6435
H2 0.9658 0.3399 0.3565
H3 0.5342 0.8400 0.8565
H4 0.4658 0.1600 0.1435
H5 0.6615 0.6422 0.4454
H6 0.3385 0.3578 0.5546
H7 0.1615 0.8578 0.0546
H8 0.8385 0.1422 0.9454
H9 0.2515 0.6207 0.2412
H10 0.7485 0.3793 0.7588
H11 0.7515 0.8793 0.2588
H12 0.2485 0.1207 0.7412
```

VASP energy: -117.91 eV/cell


A relaxed La6Pr2Y3Mg crystal. Source: the Alexandria database, functional PBE-GGA.

```
data_La6Pr2Y3Mg
_symmetry_space_group_name_H-M 'P 1'
_symmetry_Int_Tables_number 1
_cell_length_a 6.3500
_cell_length_b 6.3500
_cell_length_c 12.0378
_cell_angle_alpha 95.06
_cell_angle_beta 95.06
_cell_angle_gamma 120.04
loop_
_symmetry_equiv_pos_as_xyz
'x,y,z'
loop_
_atom_site_label
_atom_site_fract_x
_atom_site_fract_y
_atom_site_fract_z
La1 0.9169 0.5872 0.7485
La2 0.7529 0.7529 0.2516
La3 0.0831 0.4128 0.2515
La4 0.5872 0.9169 0.7485
La5 0.2471 0.2471 0.7484
La6 0.4128 0.0831 0.2515
Pr1 0.3332 0.6668 0.0000
Pr2 0.6668 0.3332 0.0000
Y1 0.1660 0.8340 0.5000
Y2 0.8340 0.1660 0.5000
Y3 0.5000 0.5000 0.5000
Mg1 0.0000 0.0000 0.0000
```

Formation energy from the elements: 0.006 eV per atom
VASP energy: -60.04 eV/cell


A relaxed LiTe2SN crystal. Source: the Alexandria database, functional PBE-GGA.

```
data_LiTe2SN
_symmetry_space_group_name_H-M 'P 1'
_symmetry_Int_Tables_number 1
_cell_length_a 5.0885
_cell_length_b 5.0885
_cell_length_c 3.5266
_cell_angle_alpha 90.00
_cell_angle_beta 90.00
_cell_angle_gamma 90.00
loop_
_symmetry_equiv_pos_as_xyz
'x,y,z'
loop_
_atom_site_label
_atom_site_fract_x
_atom_site_fract_y
_atom_site_fract_z
S1 0.5000 0.5000 0.5000
Te1 0.0000 0.5000 0.0000
Te2 0.5000 0.0000 0.0000
Li1 0.0000 0.0000 0.0000
N1 0.0000 0.0000 0.5000
```

Raw formation energy: 89.68 kJ/mol of atoms
VASP energy: -16.00 eV/cell


A relaxed SiIrOs2O crystal. Source: the Alexandria database, functional PBE-GGA.

```
data_SiIrOs2O
_symmetry_space_group_name_H-M 'P 1'
_symmetry_Int_Tables_number 1
_cell_length_a 4.7772
_cell_length_b 4.5377
_cell_length_c 4.7772
_cell_angle_alpha 90.00
_cell_angle_beta 90.00
_cell_angle_gamma 90.00
loop_
_symmetry_equiv_pos_as_xyz
'x,y,z'
loop_
_atom_site_label
_atom_site_fract_x
_atom_site_fract_y
_atom_site_fract_z
Si1 0.0000 0.5000 0.0000
Ir1 0.0000 0.0000 0.0000
Os1 0.0000 0.0000 0.5000
Os2 0.5000 0.0000 0.0000
O1 0.5000 0.5000 0.5000
```

Raw formation energy: 213.94 kJ/mol of atoms
VASP energy: -30.61 eV/cell


A relaxed Hf2Ti2Te3 crystal. Source: the Alexandria database, functional PBE-GGA.

```
data_Hf2Ti2Te3
_symmetry_space_group_name_H-M 'P 1'
_symmetry_Int_Tables_number 1
_cell_length_a 7.5915
_cell_length_b 6.9340
_cell_length_c 6.4273
_cell_angle_alpha 90.00
_cell_angle_beta 68.24
_cell_angle_gamma 90.00
loop_
_symmetry_equiv_pos_as_xyz
'x,y,z'
loop_
_atom_site_label
_atom_site_fract_x
_atom_site_fract_y
_atom_site_fract_z
Hf1 0.8593 0.6424 0.9401
Hf2 0.3593 0.8576 0.9401
Hf3 0.6407 0.1424 0.0599
Hf4 0.1407 0.3576 0.0599
Ti1 0.4519 0.1811 0.6278
Ti2 0.0481 0.6811 0.3722
Ti3 0.9519 0.3189 0.6278
Ti4 0.5481 0.8189 0.3722
Te1 0.5000 0.5000 0.0000
Te2 0.0000 0.0000 0.0000
Te3 0.7536 0.9355 0.6302
Te4 0.7464 0.4355 0.3698
Te5 0.2536 0.5645 0.6302
Te6 0.2464 0.0645 0.3698
```

Raw formation energy: -34.24 kJ/mol of atoms
VASP energy: -95.21 eV/cell


A relaxed ErPa2NbN4 crystal. Source: the Alexandria database, functional PBE-GGA.

```
data_ErPa2NbN4
_symmetry_space_group_name_H-M 'P 1'
_symmetry_Int_Tables_number 1
_cell_length_a 3.4282
_cell_length_b 5.8708
_cell_length_c 5.8140
_cell_angle_alpha 109.80
_cell_angle_beta 90.00
_cell_angle_gamma 90.00
loop_
_symmetry_equiv_pos_as_xyz
'x,y,z'
loop_
_atom_site_label
_atom_site_fract_x
_atom_site_fract_y
_atom_site_fract_z
Er1 0.5000 0.5000 0.0000
Pa1 0.5000 0.0000 0.5000
Pa2 0.0000 0.5000 0.5000
Nb1 0.0000 0.0000 0.0000
N1 0.5000 0.2397 0.2382
N2 0.5000 0.7603 0.7618
N3 0.0000 0.2460 0.7554
N4 0.0000 0.7540 0.2446
```

Raw formation energy: -143.78 kJ/mol of atoms
VASP energy: -78.85 eV/cell


A relaxed InSn2O crystal. Source: the Alexandria database, functional PBE-GGA.

```
data_InSn2O
_symmetry_space_group_name_H-M 'P 1'
_symmetry_Int_Tables_number 1
_cell_length_a 4.9309
_cell_length_b 4.9309
_cell_length_c 4.9309
_cell_angle_alpha 60.00
_cell_angle_beta 60.00
_cell_angle_gamma 60.00
loop_
_symmetry_equiv_pos_as_xyz
'x,y,z'
loop_
_atom_site_label
_atom_site_fract_x
_atom_site_fract_y
_atom_site_fract_z
Sn1 0.2500 0.2500 0.2500
Sn2 0.7500 0.7500 0.7500
O1 0.0000 0.0000 0.0000
In1 0.5000 0.5000 0.5000
```

Raw formation energy: 13.07 kJ/mol of atoms
VASP energy: -15.16 eV/cell


no.,V (A^3/atom)
1,17.7
2,25.5
3,32.1
4,10.2
5,34.5
6,18.3
7,20.7
8,22.4
9,13.8
10,21.2